The following is a DFT calculation (PBE) of an optimized crystal structure of LiHg3PdS4.

Uncorrected energy, Ry per atom: -0.20983
Calculated density, g cm⁻³: 6.61

Lattice parameters (Å, degrees): 5.9612 5.9612 5.9612 90.00 90.00 90.00
Closest atoms and distances in Å follow each position.
Space group P-43m (No. 215)
Unique sites:
Li1 0.0000 0.0000 0.0000 x1  4 S 2.48
Hg1 0.0000 0.5000 0.5000 x3  4 S 2.62
Pd1 0.5000 0.5000 0.5000 x1  4 S 2.68, 6 Hg 2.98
S1 0.2400 0.2400 0.2400 x4  1 Li 2.48, 3 Hg 2.62, 1 Pd 2.68